Cr2CdRe | Alexandria | PBE | optimized geometry; density = 11340 kg/m³; energy of formation from the pure elements = 0.636 eV per atom
1.0
4.760 -0.127 0.000
1.693 4.451 0.000
-3.227 -2.162 2.755
Cd Cr Re
1 2 1
Direct
0.750 0.250 0.500
0.000 0.000 0.000
0.250 0.750 0.500
0.500 0.500 0.000